First-principles (PBE) data for an optimized crystal structure of Sc5GeBi2C, as listed in Alexandria via LeMat-Bulk. Values from VASP.

Energy of formation from the pure elements = -0.63 eV per atom
N(E_F) = 4.9 states/eV/f.u.
Raw total energy = -6.55 eV/atom

The structure in Quantum ESPRESSO input format:
```
&SYSTEM
  ibrav = 0, nat = 9, ntyp = 4
/
ATOMIC_SPECIES
Bi 208.98 Bi.upf
Sc 44.96 Sc.upf
Ge 72.64 Ge.upf
C 12.01 C.upf
ATOMIC_POSITIONS crystal
Bi 0.500 0.500 0.285
Bi 0.500 0.500 0.715
Sc 0.500 0.500 0.000
Sc 0.000 0.500 0.500
Sc 0.500 0.000 0.500
Sc 0.000 0.000 0.265
Sc 0.000 0.000 0.735
Ge 0.000 0.000 0.000
C 0.000 0.000 0.500
CELL_PARAMETERS angstrom
-0.012 4.170 -1.400
-4.098 -0.520 -1.512
-3.763 3.060 9.147
```